Here is an optimized crystal structure of NaScP2Cl from Alexandria. Energies are from GGA-PBE.

Cell and atoms, written as POSCAR:
```
NaScP2Cl
1.0
4.815 0.000 0.000
0.000 4.815 0.000
0.000 0.000 4.816
Na Sc P Cl
1 1 2 1
Direct
0.000 0.000 0.000 Na
0.500 0.500 0.500 Sc
0.000 0.500 0.000 P
0.500 0.000 0.000 P
0.000 0.000 0.500 Cl
```

Summary:
final energy = -18.4 eV for the cell shown
total magnetic moment = 0.000 μB per atom
formation energy from raw total energies = 0.39 eV/atom
ΔE to the lowest computed polymorph = 849 meV per atom